Here is KSr3Rh after structural relaxation from the Alexandria database. Energies are from PBE.

Cell and atoms, written as POSCAR:
```
KSr3Rh
1.0
-5.4250 -4.1719 -0.0226
5.2865 -6.8823 1.6285
-3.5178 4.5369 6.7038
Sr Rh K
6 2 2
Direct
0.6084 0.9691 0.5707
0.1085 0.1266 0.4127
0.6085 0.4970 0.0984
0.6085 0.9695 0.0978
0.1084 0.6547 0.4132
0.1085 0.6551 0.9408
0.3589 0.8119 0.2555
0.8579 0.8119 0.2555
0.6085 0.4779 0.5891
0.1084 0.1462 0.9221
```

Results
Excess energy over the best structure of this formula in the dataset (meV/atom): 8
Total magnetization (μB per cell): 0.0
Energy relative to the elements (meV/atom): -129
Final energy (eV/cell): -28.28